Record 1
Entry from the Alexandria database: a relaxed K4TmTh3Se8 crystal (PBE).

D(E_F) ... 0.6331 states/eV per atom
Formation energy from raw total energies ... -1.582 eV per atom

a = 8.434 Å, b = 9.221 Å, c = 8.435 Å
α = 117.22°, β = 120.00°, γ = 90.00°
Positions (direct):
Se 0.233 0.712 0.466
Se 0.767 0.288 0.021
Se 0.767 0.288 0.534
Se 0.747 0.712 0.979
Se 0.740 0.721 0.481
Se 0.233 0.712 0.979
Se 0.253 0.288 0.021
Se 0.260 0.279 0.519
K 0.500 0.000 0.500
K 0.500 0.000 0.000
K 0.000 0.000 0.500
K 0.000 0.000 0.000
Tm 0.000 0.500 0.000
Th 0.000 0.500 0.500
Th 0.500 0.500 0.000
Th 0.500 0.500 0.500

=====

Record 2
Entry from the Alexandria database: a relaxed K3Th2USe6 crystal (PBE).

D(E_F) ... 0.5019 states/eV per atom
Formation energy from raw total energies ... -1.443 eV per atom

a = 4.229 Å, b = 9.240 Å, c = 10.188 Å
α = 110.08°, β = 101.98°, γ = 90.00°
Last column: magnetic moment on the atom in μB.
Positions (direct):
Se 0.341 0.903 0.682  -0.01
Se 0.005 0.227 0.011  -0.03
Se 0.324 0.439 0.647  0.00
Se 0.995 0.773 0.989  -0.03
Se 0.676 0.561 0.353  0.00
Se 0.659 0.097 0.318  -0.01
K 0.833 0.170 0.666  0.00
K 0.500 0.500 0.000  0.00
K 0.167 0.830 0.334  0.00
Th 0.838 0.678 0.677  0.23
Th 0.162 0.322 0.323  0.23
U 0.500 0.000 0.000  2.83